Mn2CoCl: relaxed, PBE.

```
Mn2CoCl
1.0
-1.7969 1.7969 4.6781
1.7969 -1.7969 4.6781
1.7969 1.7969 -4.6781
Mn Co Cl
2 1 1
direct
0.0000 0.0000 0.0000 Mn
0.7500 0.2500 0.5000 Mn
0.5000 0.5000 0.0000 Co
0.2500 0.7500 0.5000 Cl
```

Summary:
symmetry	I-4m2 (119)
raw formation energy	221	kJ/mol of formula units

=====

La5W: relaxed, PBE.

```
La5W
1.0
6.3859 -1.8929 0.0000
6.3859 1.8929 0.0000
-2.8967 0.0000 8.0335
La W
5 1
direct
0.0000 0.0000 0.0000 La
0.3407 0.3407 0.2095 La
0.3656 0.3656 0.6325 La
0.6344 0.6344 0.3675 La
0.6593 0.6593 0.7905 La
0.0000 0.0000 0.5000 W
```

Summary:
ΔE_f	0.2846	eV per atom
symmetry	C2/m (12)

=====

Fe2SbAu: relaxed, PBE.

```
Fe2SbAu
1.0
2.9855 0.0000 0.0000
0.0000 3.9352 0.0000
-0.5495 0.0000 5.6050
Fe Sb Au
2 1 1
direct
0.0334 0.0000 0.2400 Fe
0.9666 0.0000 0.7600 Fe
0.5000 0.5000 0.5000 Sb
0.5000 0.5000 0.0000 Au
```

Summary:
symmetry	P2/m (10)
raw formation energy	118	kJ/mol of formula units

=====

The following uncorrected energy values (in eV/atom) correspond, in order, to the records above: -6.251; -5.980; -5.775.